First-principles (PBE) data for an optimized crystal structure of Mg9Si5, as listed in Alexandria via LeMat-Bulk.

a = 7.1868 Å, b = 7.1883 Å, c = 13.2319 Å
α = 76.99°, β = 87.50°, γ = 60.57°
Last column: nearest neighbours and their distance in Å.
Space group P1 (No. 1)
Unique sites:
Mg (0.0000, 0.0000, 0.0000) (multiplicity 1)  1 Si 2.72
Mg (0.0157, 0.4858, 0.5113) (multiplicity 1)  4 Si 2.71-2.81
Mg (0.0999, 0.3072, 0.8237) (multiplicity 1)  4 Si 2.68-2.84
Mg (0.1385, 0.5303, 0.9859) (multiplicity 1)  3 Si 2.71-2.90
Mg (0.1945, 0.1124, 0.1922) (multiplicity 1)  3 Si 2.69-2.79, 1 Mg 2.99
Mg (0.2429, 0.9690, 0.5099) (multiplicity 1)  4 Si 2.67-2.84
Mg (0.2722, 0.6737, 0.3514) (multiplicity 1)  5 Si 2.76-2.92, 1 Mg 3.09
Mg (0.3184, 0.8090, 0.8269) (multiplicity 1)  4 Si 2.74-2.81
Mg (0.3590, 0.4868, 0.6789) (multiplicity 1)  4 Si 2.80-2.85, 1 Mg 3.12
Mg (0.4670, 0.3691, 0.1901) (multiplicity 1)  4 Si 2.71-2.83, 1 Mg 2.88
Mg (0.4826, 0.9552, 0.9990) (multiplicity 1)  3 Si 2.65-2.78
Mg (0.5240, 0.2182, 0.5027) (multiplicity 1)  4 Si 2.70-2.78
Mg (0.6010, 0.8873, 0.3530) (multiplicity 1)  5 Si 2.72-2.88
Mg (0.6753, 0.7633, 0.6513) (multiplicity 1)  5 Si 2.77-3.09, 1 Mg 3.09
Mg (0.7779, 0.4444, 0.0704) (multiplicity 1)  3 Si 2.69-2.74, 2 Mg 2.88-2.99
Mg (0.8176, 0.3573, 0.3509) (multiplicity 1)  5 Si 2.70-2.95
Mg (0.8781, 0.1746, 0.6707) (multiplicity 1)  4 Si 2.74-2.89
Mg (0.9333, 0.6842, 0.1884) (multiplicity 1)  3 Si 2.71-2.89
Si (0.2283, 0.3077, 0.3450) (multiplicity 1)  9 Mg 2.71-2.89
Si (0.2960, 0.1396, 0.6630) (multiplicity 1)  8 Mg 2.68-2.89
Si (0.5343, 0.7140, 0.1968) (multiplicity 1)  8 Mg 2.69-2.81
Si (0.5698, 0.2761, 0.9918) (multiplicity 1)  1 Si 2.39, 1 Mg 2.65
Si (0.5977, 0.5539, 0.5147) (multiplicity 1)  9 Mg 2.75-2.92
Si (0.6806, 0.3997, 0.8295) (multiplicity 1)  2 Si 2.39-2.45
Si (0.7434, 0.6780, 0.8742) (multiplicity 1)  2 Si 2.40-2.45
Si (0.8769, 0.0241, 0.2669) (multiplicity 1)  1 Si 2.57, 6 Mg 2.70-2.79
Si (0.9175, 0.9125, 0.4670) (multiplicity 1)  1 Si 2.57, 4 Mg 2.67-2.88
Si (0.9913, 0.7520, 0.7698) (multiplicity 1)  1 Si 2.40

DOS at the Fermi energy: 5.431 states/eV per cell
offset from the most stable computed form: 93 meV/atom